# UCuAsO PBE-GGA relaxed
data_UCuAsO
_chemical_formula_sum 'U2 Cu2 As2 O2'
_cell_length_a 3.8376
_cell_length_b 3.8376
_cell_length_c 8.4785
_cell_angle_alpha 90.00
_cell_angle_beta 90.00
_cell_angle_gamma 90.00
_symmetry_space_group_name_H-M 'P 4/n m m'
_symmetry_Int_Tables_number 129
loop_
_symmetry_equiv_pos_as_xyz
'x,y,z'
'-x,-y,-z'
'-y+1/2,x,z'
'y+1/2,-x,-z'
'-x+1/2,-y+1/2,z'
'x+1/2,y+1/2,-z'
'y,-x+1/2,z'
'-y,x+1/2,-z'
'x+1/2,-y,-z'
'-x+1/2,y,z'
'-y,-x,-z'
'y,x,z'
'-x,y+1/2,-z'
'x,-y+1/2,z'
'y+1/2,x+1/2,-z'
'-y+1/2,-x+1/2,z'
loop_
_atom_site_label
_atom_site_type_symbol
_atom_site_fract_x
_atom_site_fract_y
_atom_site_fract_z
U1 U 0.2500 0.2500 0.1544
Cu1 Cu 0.2500 0.7500 0.5000
As1 As 0.2500 0.2500 0.6844
O1 O 0.2500 0.7500 0.0000
# E: -62.119 eV for the cell shown
# Total magnetic moment: 2.02 μB/f.u.
# DOS(E_F): 1.384 states/eV per atom
# Energy relative to the elements, uncorrected: -1.5168 eV/atom